A crystal of BaS4O13 relaxed with PBEsol, computed with meta-GGA SCAN.

```
data_BaS4O13
_space_group_name_H-M_alt 'P 1'
_space_group_IT_number 1
_space_group_name_Hall 'P 1'
_cell_length_a 7.600
_cell_length_b 7.600
_cell_length_c 9.573
_cell_angle_alpha 95.30
_cell_angle_beta 95.30
_cell_angle_gamma 103.89
loop_
_atom_site_label
_atom_site_type_symbol
_atom_site_fract_x
_atom_site_fract_y
_atom_site_fract_z
O1 O 0.277 0.738 0.458
O2 O 0.102 0.297 0.447
O3 O 0.505 0.065 0.672
O4 O 0.292 0.415 0.030
O5 O 0.297 0.102 0.947
O6 O 0.065 0.505 0.172
O7 O 0.449 0.230 0.184
O8 O 0.886 0.859 0.860
O9 O 0.859 0.886 0.360
O10 O 0.603 0.397 0.750
O11 O 0.738 0.277 0.958
O12 O 0.723 0.262 0.542
O13 O 0.114 0.141 0.140
O14 O 0.770 0.551 0.316
O15 O 0.262 0.723 0.042
O16 O 0.551 0.770 0.816
O17 O 0.495 0.935 0.328
O18 O 0.703 0.898 0.053
O19 O 0.230 0.449 0.684
O20 O 0.397 0.603 0.250
O21 O 0.898 0.703 0.553
O22 O 0.708 0.585 0.970
O23 O 0.415 0.292 0.530
O24 O 0.935 0.495 0.828
O25 O 0.585 0.708 0.470
O26 O 0.141 0.114 0.640
S1 S 0.286 0.189 0.084
S2 S 0.566 0.235 0.617
S3 S 0.714 0.811 0.916
S4 S 0.811 0.714 0.416
S5 S 0.189 0.286 0.584
S6 S 0.235 0.566 0.117
S7 S 0.765 0.434 0.883
S8 S 0.434 0.765 0.383
Ba1 Ba 0.803 0.197 0.250
Ba2 Ba 0.197 0.803 0.750
```

formation energy without anion corrections	-30.83	eV/f.u.
energy	-10.55	eV/atom